The following is a DFT calculation (PBE) of La3PmTm2Sb6 after structural relaxation.

Cell and atoms, written as POSCAR:
```
La3PmTm2Sb6
1.0
3.911 -6.773 0.000
3.911 6.773 0.000
-2.608 0.000 7.344
La Pm Tm Sb
3 1 2 6
Cartesian
0.000 0.000 0.000
3.911 2.232 0.000
3.911 -2.232 0.000
2.607 0.000 3.672
2.607 4.506 3.672
2.607 -4.506 3.672
1.281 2.295 1.929
-0.046 0.000 5.399
1.281 -2.295 1.929
3.933 2.295 5.415
5.259 0.000 1.945
3.933 -2.295 5.415
```

Raw formation energy ... -1184 meV/atom
Density of states at the Fermi level ... 0.178 states/eV per atom
Space group ... No. 12
M_tot ... 0.0 μB per formula unit
DFT total energy ... -5.62 eV per atom

---

The following is a DFT calculation (PBE) of BaAsSe2N after structural relaxation.

Cell and atoms, written as POSCAR:
```
BaAsSe2N
1.0
5.369 0.000 0.000
0.000 5.369 0.000
0.000 0.000 4.059
Ba As Se N
1 1 2 1
Cartesian
0.000 0.000 0.000
2.684 2.684 2.029
0.000 2.684 2.029
2.684 0.000 2.029
2.684 2.684 0.000
```

Raw formation energy ... -182 meV/atom
Density of states at the Fermi level ... 0.253 states/eV per atom
Space group ... No. 123
M_tot ... 1.4 μB per formula unit
Polymorph energy (0 for the lowest one) ... 0.0000 eV/atom
DFT total energy ... -4.56 eV per atom